[1]
La2NdSn3Pt3 | PBE-GGA | optimized geometry

Unit cell a=4.1748 b=7.6970 c=7.6970 alpha=120.00 beta=90.00 gamma=90.00
Last column: nearest neighbours and their distance in Å.
Atoms (fractional coordinates):
La  0.0000  0.9994  0.5853  5 Pt 3.11-3.20, 4 Sn 3.33-3.48
La  0.0000  0.5853  0.9994  5 Pt 3.11-3.20, 4 Sn 3.33-3.48
Nd  0.0000  0.4116  0.4116  5 Pt 3.12-3.16, 6 Sn 3.33-3.45
Pt  0.0000  0.0015  0.0015  6 Sn 2.83-2.86, 1 Nd 3.16
Pt  0.5000  0.6670  0.3341  3 Sn 2.93-2.96, 4 La 3.11-3.13, 2 Nd 3.12
Pt  0.5000  0.3341  0.6670  3 Sn 2.93-2.96, 4 La 3.11-3.13, 2 Nd 3.12
Sn  0.5000  0.2501  0.0027  4 Pt 2.83-2.96
Sn  0.5000  0.0027  0.2501  4 Pt 2.83-2.96
Sn  0.5000  0.7482  0.7482  4 Pt 2.86-2.93

**Symmetry**: Amm2
**Total magnetization**: 0.002 μB per formula unit
**Crystal system**: orthorhombic
**E_tot**: -6.05 eV/atom
**Volume**: 214 Å³/cell

***

[2]
LaNdS2 | PBE-GGA | optimized geometry

Unit cell a=4.1099 b=4.1099 c=5.8076 alpha=90.00 beta=90.00 gamma=90.00
Last column: nearest neighbours and their distance in Å.
Atoms (fractional coordinates):
La  0.0000  0.0000  0.0000  6 S 2.90-2.91
Nd  0.5000  0.5000  0.5000  6 S 2.90-2.91
S  0.5000  0.5000  0.0000  2 Nd 2.90, 4 La 2.91
S  0.0000  0.0000  0.5000  2 La 2.90, 4 Nd 2.91

**Symmetry**: P4/mmm
**Total magnetization**: 0.007 μB per formula unit
**Crystal system**: tetragonal
**E_tot**: -6.58 eV/atom
**Volume**: 98 Å³/cell

***

[3]
LaNd3S6 | PBE-GGA | optimized geometry

Unit cell a=11.3779 b=4.1334 c=11.6928 alpha=90.00 beta=108.30 gamma=90.00
Last column: nearest neighbours and their distance in Å.
Atoms (fractional coordinates):
La  0.5478  0.7500  0.1905  8 S 2.96-3.15
La  0.4522  0.2500  0.8095  8 S 2.96-3.15
Nd  0.1815  0.7500  0.0031  7 S 2.80-3.04
Nd  0.9382  0.7500  0.3312  6 S 2.76-2.89
Nd  0.3389  0.2500  0.4143  6 S 2.76-2.91
Nd  0.6611  0.7500  0.5857  6 S 2.76-2.91
Nd  0.0618  0.2500  0.6688  6 S 2.76-2.89
Nd  0.8185  0.2500  0.9969  7 S 2.80-3.04
S  0.3863  0.2500  0.0383  3 La 2.96-3.00, 2 Nd 3.04
S  0.9785  0.7500  0.1104  4 Nd 2.76-2.95
S  0.7594  0.2500  0.2255  3 Nd 2.89-2.96, 2 La 3.10
S  0.3100  0.7500  0.2508  3 Nd 2.76-2.80, 1 La 3.00
S  0.5834  0.2500  0.4023  3 Nd 2.83-2.91, 2 La 3.15
S  0.1021  0.2500  0.4392  4 Nd 2.80-2.86
S  0.8979  0.7500  0.5608  4 Nd 2.80-2.86
S  0.4166  0.7500  0.5977  3 Nd 2.83-2.91, 2 La 3.15
S  0.6900  0.2500  0.7492  3 Nd 2.76-2.80, 1 La 3.00
S  0.2406  0.7500  0.7745  3 Nd 2.89-2.96, 2 La 3.10
S  0.0215  0.2500  0.8896  4 Nd 2.76-2.95
S  0.6137  0.7500  0.9617  3 La 2.96-3.00, 2 Nd 3.04

**Symmetry**: P2_1/m
**Total magnetization**: 0.002 μB per formula unit
**Crystal system**: monoclinic
**E_tot**: -6.48 eV/atom
**Volume**: 522 Å³/cell

***

[4]
LaNdS4 | PBE-GGA | optimized geometry

Unit cell a=4.0029 b=4.0029 c=8.2716 alpha=90.00 beta=90.00 gamma=90.00
Last column: nearest neighbours and their distance in Å.
Atoms (fractional coordinates):
La  0.0000  0.0000  0.2753  9 S 2.93-3.05
Nd  0.5000  0.5000  0.7260  9 S 2.93-3.01
S  0.5000  0.5000  0.3686  4 La 2.93, 1 Nd 2.96
S  0.0000  0.0000  0.6355  4 Nd 2.93, 1 La 2.98
S  0.5000  0.0000  0.9972  4 S 2.83, 2 Nd 3.01, 2 La 3.05
S  0.0000  0.5000  0.9972  4 S 2.83, 2 Nd 3.01, 2 La 3.05

**Symmetry**: P4mm
**Total magnetization**: 0.003 μB per formula unit
**Crystal system**: tetragonal
**E_tot**: -6.09 eV/atom
**Volume**: 133 Å³/cell